(1)
# DyEr2TmGa4 GGA-PBE relaxed
# VASP energy = -35.34 eV per formula unit
# total moment = 0.01 μB per formula unit
data_DyEr2TmGa4
_chemical_formula_sum 'Dy2 Er4 Tm2 Ga8'
_cell_length_a 6.5771
_cell_length_b 4.3169
_cell_length_c 13.0749
_cell_angle_alpha 90.00
_cell_angle_beta 90.00
_cell_angle_gamma 90.00
_symmetry_space_group_name_H-M 'A m m 2'
_symmetry_Int_Tables_number 38
_symmetry_space_group_name_Hall 'A 2 -2'
loop_
_atom_site_label
_atom_site_fract_x
_atom_site_fract_y
_atom_site_fract_z
_atom_site_occupancy
Dy1 0.0000 0.0000 0.0000 1
Er1 0.0000 0.0000 0.2758 1
Er2 0.5000 0.0000 0.1719 1
Tm1 0.5000 0.0000 0.4465 1
Ga1 0.1981 0.0000 0.6249 1
Ga2 0.3031 0.0000 0.8224 1

=====

(2)
# Gd2DyEr GGA-PBE relaxed
# energy relative to the elements = 4.0 kJ/mol of formula units
# VASP energy = -18.43 eV per formula unit
# total moment = 0.05 μB per formula unit
data_Gd2DyEr
_chemical_formula_sum 'Gd8 Dy4 Er4'
_cell_length_a 5.6515
_cell_length_b 12.5005
_cell_length_c 7.2144
_cell_angle_alpha 90.00
_cell_angle_beta 90.00
_cell_angle_gamma 90.00
_symmetry_space_group_name_H-M 'A m a 2'
_symmetry_Int_Tables_number 40
_symmetry_space_group_name_Hall 'A 2 -2a'
loop_
_atom_site_label
_atom_site_fract_x
_atom_site_fract_y
_atom_site_fract_z
_atom_site_occupancy
Gd1 0.2500 0.0833 0.0000 1
Gd2 0.2500 0.3331 0.7502 1
Dy1 0.2500 0.0835 0.5010 1
Er1 0.2500 0.3334 0.2507 1

=====

(3)
# Gd2DyEr GGA-PBE relaxed
# energy relative to the elements = 3.8 kJ/mol of formula units
# VASP energy = -18.43 eV per formula unit
# total moment = 0.08 μB per formula unit
data_Gd2DyEr
_chemical_formula_sum 'Gd8 Dy4 Er4'
_cell_length_a 7.2296
_cell_length_b 12.5094
_cell_length_c 5.6597
_cell_angle_alpha 90.00
_cell_angle_beta 90.00
_cell_angle_gamma 90.00
_symmetry_space_group_name_H-M 'C m c m'
_symmetry_Int_Tables_number 63
_symmetry_space_group_name_Hall '-C 2c 2'
loop_
_atom_site_label
_atom_site_fract_x
_atom_site_fract_y
_atom_site_fract_z
_atom_site_occupancy
Gd1 0.2502 0.0836 0.2500 1
Dy1 0.0000 0.1670 0.7500 1
Er1 0.0000 0.3331 0.2500 1

=====

(4)
# Gd2DyEr GGA-PBE relaxed
# energy relative to the elements = 4.1 kJ/mol of formula units
# VASP energy = -18.43 eV per formula unit
# total moment = 0.06 μB per formula unit
data_Gd2DyEr
_chemical_formula_sum 'Gd8 Dy4 Er4'
_cell_length_a 5.6519
_cell_length_b 7.2147
_cell_length_c 12.5013
_cell_angle_alpha 90.00
_cell_angle_beta 90.00
_cell_angle_gamma 90.00
_symmetry_space_group_name_H-M 'A m m 2'
_symmetry_Int_Tables_number 38
_symmetry_space_group_name_Hall 'A 2 -2'
loop_
_atom_site_label
_atom_site_fract_x
_atom_site_fract_y
_atom_site_fract_z
_atom_site_occupancy
Gd1 0.0000 0.0000 0.0000 1
Gd2 0.0000 0.2495 0.2495 1
Gd3 0.5000 0.0000 0.6662 1
Dy1 0.5000 0.2496 0.4163 1
Er1 0.0000 0.0000 0.4996 1
Er2 0.5000 0.0000 0.1665 1

=====

(5)
# GdDyEr6 GGA-PBE relaxed
# energy relative to the elements = 2.3 kJ/mol of formula units
# VASP energy = -36.61 eV per formula unit
# total moment = 0.12 μB per formula unit
data_GdDyEr6
_chemical_formula_sum 'Gd1 Dy1 Er6'
_cell_length_a 7.1614
_cell_length_b 7.1614
_cell_length_c 5.5723
_cell_angle_alpha 90.00
_cell_angle_beta 90.00
_cell_angle_gamma 120.00
_symmetry_space_group_name_H-M 'P -6 m 2'
_symmetry_Int_Tables_number 187
_symmetry_space_group_name_Hall 'P -6 2'
loop_
_atom_site_label
_atom_site_fract_x
_atom_site_fract_y
_atom_site_fract_z
_atom_site_occupancy
Gd1 0.0000 0.0000 0.0000 1
Dy1 0.6667 0.3333 0.5000 1
Er1 0.0022 0.5011 0.0000 1
Er2 0.1677 0.3355 0.5000 1

=====

(6)
# GdDy2ErIn2 GGA-PBE relaxed
# VASP energy = -26.01 eV per formula unit
# total moment = 0.85 μB per formula unit
data_GdDy2ErIn2
_chemical_formula_sum 'Gd1 Dy2 Er1 In2'
_cell_length_a 5.3890
_cell_length_b 5.3890
_cell_length_c 6.7279
_cell_angle_alpha 90.00
_cell_angle_beta 90.00
_cell_angle_gamma 120.00
_symmetry_space_group_name_H-M 'P -6 m 2'
_symmetry_Int_Tables_number 187
_symmetry_space_group_name_Hall 'P -6 2'
loop_
_atom_site_label
_atom_site_fract_x
_atom_site_fract_y
_atom_site_fract_z
_atom_site_occupancy
Gd1 0.0000 0.0000 0.0000 1
Dy1 0.6667 0.3333 0.2507 1
Er1 0.3333 0.6667 0.5000 1
In1 0.0000 0.0000 0.5000 1
In2 0.3333 0.6667 0.0000 1

=====

(7)
# Gd2DyErIn2 GGA-PBE relaxed
# VASP energy = -26.07 eV per formula unit
# total moment = 0.78 μB per formula unit
data_Gd2DyErIn2
_chemical_formula_sum 'Gd2 Dy1 Er1 In2'
_cell_length_a 5.3977
_cell_length_b 5.3977
_cell_length_c 6.7316
_cell_angle_alpha 90.00
_cell_angle_beta 90.00
_cell_angle_gamma 120.00
_symmetry_space_group_name_H-M 'P -6 m 2'
_symmetry_Int_Tables_number 187
_symmetry_space_group_name_Hall 'P -6 2'
loop_
_atom_site_label
_atom_site_fract_x
_atom_site_fract_y
_atom_site_fract_z
_atom_site_occupancy
Gd1 0.0000 0.0000 0.2504 1
Dy1 0.3333 0.6667 0.0000 1
Er1 0.6667 0.3333 0.5000 1
In1 0.3333 0.6667 0.5000 1
In2 0.6667 0.3333 0.0000 1

=====

(8)
# Gd3Dy2ErTe2Ir GGA-PBE relaxed
# VASP energy = -50.74 eV per formula unit
# total moment = 0.01 μB per formula unit
data_Gd3Dy2ErTe2Ir
_chemical_formula_sum 'Gd6 Dy4 Er2 Te4 Ir2'
_cell_length_a 4.0050
_cell_length_b 14.4564
_cell_length_c 8.3793
_cell_angle_alpha 90.00
_cell_angle_beta 90.00
_cell_angle_gamma 90.00
_symmetry_space_group_name_H-M 'A m m 2'
_symmetry_Int_Tables_number 38
_symmetry_space_group_name_Hall 'A 2 -2'
loop_
_atom_site_label
_atom_site_fract_x
_atom_site_fract_y
_atom_site_fract_z
_atom_site_occupancy
Gd1 0.0000 0.0000 0.0000 1
Gd2 0.0000 0.1989 0.4016 1
Dy1 0.5000 0.1201 0.7210 1
Er1 0.5000 0.0000 0.3612 1
Te1 0.5000 0.1661 0.1010 1
Ir1 0.0000 0.0000 0.5968 1

=====

(9)
# GdDy2ErMg2 GGA-PBE relaxed
# VASP energy = -21.87 eV per formula unit
# total moment = 0.03 μB per formula unit
data_GdDy2ErMg2
_chemical_formula_sum 'Gd2 Dy4 Er2 Mg4'
_cell_length_a 5.4683
_cell_length_b 3.6596
_cell_length_c 17.2190
_cell_angle_alpha 90.00
_cell_angle_beta 90.00
_cell_angle_gamma 90.00
_symmetry_space_group_name_H-M 'A m m 2'
_symmetry_Int_Tables_number 38
_symmetry_space_group_name_Hall 'A 2 -2'
loop_
_atom_site_label
_atom_site_fract_x
_atom_site_fract_y
_atom_site_fract_z
_atom_site_occupancy
Gd1 0.0000 0.0000 0.0000 1
Dy1 0.0000 0.0000 0.6801 1
Dy2 0.5000 0.0000 0.8672 1
Er1 0.5000 0.0000 0.5473 1
Mg1 0.0000 0.0000 0.3386 1
Mg2 0.5000 0.0000 0.2084 1

=====

(10)
# Gd3DyEr2Te2Pd GGA-PBE relaxed
# VASP energy = -46.63 eV per formula unit
# total moment = 0.08 μB per formula unit
data_Gd3DyEr2Te2Pd
_chemical_formula_sum 'Gd6 Dy2 Er4 Te4 Pd2'
_cell_length_a 3.9665
_cell_length_b 14.6181
_cell_length_c 8.4122
_cell_angle_alpha 90.00
_cell_angle_beta 90.00
_cell_angle_gamma 90.00
_symmetry_space_group_name_H-M 'A m m 2'
_symmetry_Int_Tables_number 38
_symmetry_space_group_name_Hall 'A 2 -2'
loop_
_atom_site_label
_atom_site_fract_x
_atom_site_fract_y
_atom_site_fract_z
_atom_site_occupancy
Gd1 0.0000 0.0000 0.0000 1
Gd2 0.0000 0.2018 0.3952 1
Dy1 0.5000 0.0000 0.3506 1
Er1 0.5000 0.1227 0.7196 1
Te1 0.5000 0.1672 0.0968 1
Pd1 0.0000 0.0000 0.6005 1

=====

(11)
# GdDyEr2Tl2 GGA-PBE relaxed
# VASP energy = -24.64 eV per formula unit
# total moment = 1.26 μB per formula unit
data_GdDyEr2Tl2
_chemical_formula_sum 'Gd1 Dy1 Er2 Tl2'
_cell_length_a 5.3920
_cell_length_b 5.3920
_cell_length_c 6.6822
_cell_angle_alpha 90.00
_cell_angle_beta 90.00
_cell_angle_gamma 120.00
_symmetry_space_group_name_H-M 'P -6 m 2'
_symmetry_Int_Tables_number 187
_symmetry_space_group_name_Hall 'P -6 2'
loop_
_atom_site_label
_atom_site_fract_x
_atom_site_fract_y
_atom_site_fract_z
_atom_site_occupancy
Gd1 0.0000 0.0000 0.0000 1
Dy1 0.3333 0.6667 0.5000 1
Er1 0.6667 0.3333 0.2513 1
Tl1 0.0000 0.0000 0.5000 1
Tl2 0.3333 0.6667 0.0000 1

=====

(12)
# Dy2Er2InNi2Ge4 GGA-PBE relaxed
# VASP energy = -59.30 eV per formula unit
# total moment = 0.00 μB per formula unit
data_Dy2Er2InNi2Ge4
_chemical_formula_sum 'Dy4 Er4 In2 Ni4 Ge8'
_cell_length_a 15.4007
_cell_length_b 4.2103
_cell_length_c 7.0016
_cell_angle_alpha 90.00
_cell_angle_beta 108.64
_cell_angle_gamma 90.00
_symmetry_space_group_name_H-M 'C 1 2/m 1'
_symmetry_Int_Tables_number 12
_symmetry_space_group_name_Hall '-C 2y'
loop_
_atom_site_label
_atom_site_fract_x
_atom_site_fract_y
_atom_site_fract_z
_atom_site_occupancy
Dy1 0.0912 0.0000 0.3905 1
Er1 0.1560 0.0000 0.9372 1
In1 0.0000 0.5000 0.0000 1
Ni1 0.2175 0.5000 0.6406 1
Ge1 0.0661 0.5000 0.6630 1
Ge2 0.2025 0.5000 0.2671 1

=====

(13)
# Dy2Er2InNi2Ge4 GGA-PBE relaxed
# VASP energy = -59.27 eV per formula unit
# total moment = 0.00 μB per formula unit
data_Dy2Er2InNi2Ge4
_chemical_formula_sum 'Dy4 Er4 In2 Ni4 Ge8'
_cell_length_a 15.4285
_cell_length_b 4.2204
_cell_length_c 7.0380
_cell_angle_alpha 90.00
_cell_angle_beta 108.54
_cell_angle_gamma 90.00
_symmetry_space_group_name_H-M 'C 1 2/m 1'
_symmetry_Int_Tables_number 12
_symmetry_space_group_name_Hall '-C 2y'
loop_
_atom_site_label
_atom_site_fract_x
_atom_site_fract_y
_atom_site_fract_z
_atom_site_occupancy
Dy1 0.1557 0.0000 0.4372 1
Er1 0.0914 0.0000 0.8911 1
In1 0.0000 0.5000 0.5000 1
Ni1 0.2175 0.5000 0.1400 1
Ge1 0.0658 0.5000 0.1620 1
Ge2 0.2026 0.5000 0.7683 1

=====

(14)
# Dy2ErIn3NiGe2 GGA-PBE relaxed
# VASP energy = -42.17 eV per formula unit
# total moment = 0.00 μB per formula unit
data_Dy2ErIn3NiGe2
_chemical_formula_sum 'Dy4 Er2 In6 Ni2 Ge4'
_cell_length_a 4.2374
_cell_length_b 12.6355
_cell_length_c 7.3048
_cell_angle_alpha 90.00
_cell_angle_beta 90.00
_cell_angle_gamma 90.00
_symmetry_space_group_name_H-M 'A m m 2'
_symmetry_Int_Tables_number 38
_symmetry_space_group_name_Hall 'A 2 -2'
loop_
_atom_site_label
_atom_site_fract_x
_atom_site_fract_y
_atom_site_fract_z
_atom_site_occupancy
Dy1 0.0000 0.2014 0.0000 1
Er1 0.0000 0.0000 0.6040 1
In1 0.5000 0.0000 0.9621 1
In2 0.5000 0.1199 0.3219 1
Ni1 0.0000 0.0000 0.2036 1
Ge1 0.5000 0.1658 0.7012 1

=====

(15)
# Dy2Er2InGe4Pd2 GGA-PBE relaxed
# VASP energy = -59.48 eV per formula unit
# total moment = 0.02 μB per formula unit
data_Dy2Er2InGe4Pd2
_chemical_formula_sum 'Dy4 Er4 In2 Ge8 Pd4'
_cell_length_a 15.8317
_cell_length_b 4.2371
_cell_length_c 7.1606
_cell_angle_alpha 90.00
_cell_angle_beta 107.40
_cell_angle_gamma 90.00
_symmetry_space_group_name_H-M 'C 1 2/m 1'
_symmetry_Int_Tables_number 12
_symmetry_space_group_name_Hall '-C 2y'
loop_
_atom_site_label
_atom_site_fract_x
_atom_site_fract_y
_atom_site_fract_z
_atom_site_occupancy
Dy1 0.1556 0.0000 0.4229 1
Er1 0.0873 0.0000 0.8829 1
In1 0.0000 0.5000 0.5000 1
Ge1 0.0617 0.5000 0.1593 1
Ge2 0.1904 0.5000 0.7372 1
Pd1 0.2190 0.5000 0.1295 1

=====

(16)
# DyErGe2Ir GGA-PBE relaxed
# VASP energy = -31.87 eV per formula unit
# total moment = 0.00 μB per formula unit
data_DyErGe2Ir
_chemical_formula_sum 'Dy4 Er4 Ge8 Ir4'
_cell_length_a 10.4895
_cell_length_b 4.2877
_cell_length_c 10.2778
_cell_angle_alpha 90.00
_cell_angle_beta 116.86
_cell_angle_gamma 90.00
_symmetry_space_group_name_H-M 'C 1 2/m 1'
_symmetry_Int_Tables_number 12
_symmetry_space_group_name_Hall '-C 2y'
loop_
_atom_site_label
_atom_site_fract_x
_atom_site_fract_y
_atom_site_fract_z
_atom_site_occupancy
Dy1 0.0081 0.0000 0.3296 1
Er1 0.1899 0.0000 0.1186 1
Ge1 0.0206 0.5000 0.8847 1
Ge2 0.1473 0.5000 0.5531 1
Ir1 0.2283 0.5000 0.3347 1

=====

(17)
# DyErGe2Ir GGA-PBE relaxed
# VASP energy = -31.87 eV per formula unit
# total moment = 0.00 μB per formula unit
data_DyErGe2Ir
_chemical_formula_sum 'Dy4 Er4 Ge8 Ir4'
_cell_length_a 10.4781
_cell_length_b 4.2862
_cell_length_c 10.2767
_cell_angle_alpha 90.00
_cell_angle_beta 116.80
_cell_angle_gamma 90.00
_symmetry_space_group_name_H-M 'C 1 2/m 1'
_symmetry_Int_Tables_number 12
_symmetry_space_group_name_Hall '-C 2y'
loop_
_atom_site_label
_atom_site_fract_x
_atom_site_fract_y
_atom_site_fract_z
_atom_site_occupancy
Dy1 0.1902 0.0000 0.1186 1
Er1 0.0083 0.0000 0.3300 1
Ge1 0.0203 0.5000 0.8842 1
Ge2 0.1473 0.5000 0.5529 1
Ir1 0.2286 0.5000 0.3354 1

=====

(18)
# Dy2ErNiGe3Ir2 GGA-PBE relaxed
# VASP energy = -58.19 eV per formula unit
# total moment = 0.00 μB per formula unit
data_Dy2ErNiGe3Ir2
_chemical_formula_sum 'Dy4 Er2 Ni2 Ge6 Ir4'
_cell_length_a 3.8469
_cell_length_b 12.2026
_cell_length_c 7.0815
_cell_angle_alpha 90.00
_cell_angle_beta 90.00
_cell_angle_gamma 90.00
_symmetry_space_group_name_H-M 'A m m 2'
_symmetry_Int_Tables_number 38
_symmetry_space_group_name_Hall 'A 2 -2'
loop_
_atom_site_label
_atom_site_fract_x
_atom_site_fract_y
_atom_site_fract_z
_atom_site_occupancy
Dy1 0.0000 0.2015 0.0000 1
Er1 0.0000 0.0000 0.3966 1
Ni1 0.0000 0.0000 0.7964 1
Ge1 0.5000 0.0000 0.0468 1
Ge2 0.5000 0.1244 0.6736 1
Ir1 0.5000 0.1650 0.2987 1

=====

(19)
# DyErNb2Ge2 GGA-PBE relaxed
# VASP energy = -42.46 eV per formula unit
# total moment = 1.12 μB per formula unit
data_DyErNb2Ge2
_chemical_formula_sum 'Dy1 Er1 Nb2 Ge2'
_cell_length_a 4.0238
_cell_length_b 4.0238
_cell_length_c 7.8226
_cell_angle_alpha 90.00
_cell_angle_beta 90.00
_cell_angle_gamma 90.00
_symmetry_space_group_name_H-M 'P 4 m m'
_symmetry_Int_Tables_number 99
_symmetry_space_group_name_Hall 'P 4 -2'
loop_
_atom_site_label
_atom_site_fract_x
_atom_site_fract_y
_atom_site_fract_z
_atom_site_occupancy
Dy1 0.0000 0.0000 0.0000 1
Er1 0.5000 0.5000 0.2950 1
Nb1 0.0000 0.5000 0.6462 1
Ge1 0.0000 0.0000 0.3988 1
Ge2 0.5000 0.5000 0.8939 1

=====

(20)
# DyErNi2Ge4 GGA-PBE relaxed
# VASP energy = -44.30 eV per formula unit
# total moment = 0.00 μB per formula unit
data_DyErNi2Ge4
_chemical_formula_sum 'Dy2 Er2 Ni4 Ge8'
_cell_length_a 4.1660
_cell_length_b 4.0590
_cell_length_c 16.8034
_cell_angle_alpha 90.00
_cell_angle_beta 90.00
_cell_angle_gamma 90.00
_symmetry_space_group_name_H-M 'A m m 2'
_symmetry_Int_Tables_number 38
_symmetry_space_group_name_Hall 'A 2 -2'
loop_
_atom_site_label
_atom_site_fract_x
_atom_site_fract_y
_atom_site_fract_z
_atom_site_occupancy
Dy1 0.0000 0.0000 0.0000 1
Er1 0.5000 0.0000 0.7845 1
Ni1 0.0000 0.0000 0.2153 1
Ni2 0.5000 0.0000 0.5698 1
Ge1 0.0000 0.0000 0.3514 1
Ge2 0.0000 0.0000 0.6409 1
Ge3 0.5000 0.0000 0.1444 1
Ge4 0.5000 0.0000 0.4331 1